# 1
## Li2Co3NiO8 (PBE with a Hubbard U)

Data for a relaxed Li2Co3NiO8 crystal.

a = 5.6716 Å, b = 5.6716 Å, c = 5.6716 Å
α = 60.29°, β = 60.29°, γ = 60.29°
Sites, in units of the cell vectors:
Li 0.1265 0.1265 0.1265
Li 0.8735 0.8735 0.8735
Co 0.0000 0.5000 0.5000
Co 0.5000 0.0000 0.5000
Co 0.5000 0.5000 0.0000
Ni 0.5000 0.5000 0.5000
O 0.2652 0.2652 0.7089
O 0.2652 0.7089 0.2652
O 0.2665 0.2665 0.2665
O 0.2911 0.7348 0.7348
O 0.7089 0.2652 0.2652
O 0.7335 0.7335 0.7335
O 0.7348 0.2911 0.7348
O 0.7348 0.7348 0.2911

Results
As for the space-group type: R-3m.

---

# 2
## Li6Co5Ni3O16 (PBE with a Hubbard U)

Data for a relaxed Li6Co5Ni3O16 crystal.

a = 5.6484 Å, b = 5.7126 Å, c = 9.2136 Å
α = 91.64°, β = 90.18°, γ = 119.35°
Sites, in units of the cell vectors:
Li 0.0000 0.0000 0.0000
Li 0.0040 0.5052 0.0058
Li 0.1631 0.3338 0.5050
Li 0.5005 0.0007 0.9997
Li 0.6593 0.3317 0.5024
Li 0.6667 0.8408 0.4985
Co 0.1579 0.8315 0.5415
Co 0.1681 0.3327 0.7688
Co 0.4978 0.4987 0.0412
Co 0.6601 0.3335 0.7690
Co 0.9992 0.5053 0.2693
Ni 0.4912 0.9949 0.2668
Ni 0.6594 0.8261 0.7662
Ni 0.9932 0.9922 0.2673
O 0.1488 0.8169 0.1603
O 0.1676 0.3430 0.1413
O 0.2980 0.1158 0.4052
O 0.2991 0.6726 0.4068
O 0.3434 0.6364 0.9024
O 0.3479 0.1987 0.8945
O 0.4868 0.4724 0.6600
O 0.5067 0.0132 0.6425
O 0.6715 0.3410 0.1415
O 0.6736 0.8454 0.1385
O 0.7889 0.6311 0.9012
O 0.8356 0.1834 0.8715
O 0.8399 0.1780 0.3700
O 0.8574 0.6669 0.4045
O 0.9909 0.4892 0.6517
O 0.9971 0.0053 0.6433

Results
As for the space-group type: P1.

---

| no. | final energy (eV/atom) |
| --- | --- |
| 1 | -5.507 |
| 2 | -5.326 |